Entry from Alexandria: KNiBRu2 after structural relaxation (GGA-PBE).

Cell lengths 4.2293, 4.2337, 4.2293 Å; angles 90.00, 90.00, 90.00 degrees
Each line ends with the local moment (μB).
Element x y z (fractional)
Ru: 0.5000 0.0000 0.0000  0.89
Ru: 0.0000 0.0000 0.5000  1.12
Ni: 0.0000 0.5000 0.0000  0.45
K: 0.5000 0.5000 0.5000  0.01
B: 0.0000 0.0000 0.0000  -0.04

## Properties
Calculated volume   75.7 Å³ per cell
ΔH_f (0 K)   0.759 eV/atom
DFT total energy   -5.662 eV/atom